[1]
# YNi2B2C

A relaxed structure of YNi2B2C (GGA-PBEsol, the Alexandria database).

a = 5.721 Å, b = 5.721 Å, c = 5.721 Å
α = 144.40°, β = 144.40°, γ = 51.22°
Fractional coordinates of all 6 atoms:
Y: 0.000 0.000 0.000
Ni: 0.250 0.750 0.500
Ni: 0.750 0.250 0.500
B: 0.355 0.355 0.000
B: 0.645 0.645 0.000
C: 0.500 0.500 0.000

Space group: I4/mmm, No. 139
Total magnetization (Bohr magnetons per cell): 0.00
DOS(E_F) (states/eV/atom): 0.4469
Energy of formation (kJ/mol of formula units): -327



[2]
# YNiBC

A relaxed structure of YNiBC (GGA-PBEsol, the Alexandria database).

a = 3.542 Å, b = 3.542 Å, c = 7.484 Å
α = 90.00°, β = 90.00°, γ = 90.00°
Fractional coordinates of all 8 atoms:
Y: 0.250 0.250 0.166
Y: 0.750 0.750 0.834
Ni: 0.250 0.750 0.500
Ni: 0.750 0.250 0.500
B: 0.250 0.250 0.644
B: 0.750 0.750 0.356
C: 0.250 0.250 0.844
C: 0.750 0.750 0.156

Space group: P4/nmm, No. 129
Total magnetization (Bohr magnetons per cell): 0.00
DOS(E_F) (states/eV/atom): 0.1793
Energy of formation (kJ/mol of formula units): -220



[3]
# TiBC2O

A relaxed structure of TiBC2O (GGA-PBEsol, the Alexandria database).

a = 3.548 Å, b = 3.548 Å, c = 3.815 Å
α = 90.00°, β = 90.00°, γ = 90.00°
Fractional coordinates of all 5 atoms:
Ti: 0.000 0.000 0.000
B: 0.500 0.500 0.000
C: 0.000 0.500 0.500
C: 0.500 0.000 0.500
O: 0.000 0.000 0.500

Space group: P4/mmm, No. 123
Total magnetization (Bohr magnetons per cell): 0.00
Formation energy without anion corrections (kJ per mole of atoms): 174.74
DOS(E_F) (states/eV/atom): 0.4614



[4]
# BOs2C

A relaxed structure of BOs2C (GGA-PBEsol, the Alexandria database).

a = 3.805 Å, b = 3.805 Å, c = 3.805 Å
α = 60.00°, β = 60.00°, γ = 60.00°
Fractional coordinates of all 4 atoms:
B: 0.000 0.000 0.000
Os: 0.250 0.250 0.250
Os: 0.750 0.750 0.750
C: 0.500 0.500 0.500

Space group: Fm-3m, No. 225
Total magnetization (Bohr magnetons per cell): 0.00
DOS(E_F) (states/eV/atom): 0.3531
Energy of formation (kJ/mol of formula units): 320



[5]
# BP3C

A relaxed structure of BP3C (GGA-PBEsol, the Alexandria database).

a = 3.949 Å, b = 3.949 Å, c = 3.949 Å
α = 90.00°, β = 90.00°, γ = 90.00°
Fractional coordinates of all 5 atoms:
B: 0.000 0.000 0.000
P: 0.000 0.000 0.500
P: 0.000 0.500 0.000
P: 0.500 0.000 0.000
C: 0.500 0.500 0.500

Space group: Pm-3m, No. 221
Total magnetization (Bohr magnetons per cell): 0.00
DOS(E_F) (states/eV/atom): 0.4214
Energy of formation (kJ/mol of formula units): 865



[6]
# BPC2

A relaxed structure of BPC2 (GGA-PBEsol, the Alexandria database).

a = 4.909 Å, b = 4.909 Å, c = 4.909 Å
α = 131.95°, β = 131.95°, γ = 70.30°
Fractional coordinates of all 8 atoms:
B: 0.000 0.000 0.000
B: 0.750 0.250 0.500
P: 0.250 0.750 0.500
P: 0.500 0.500 0.000
C: 0.103 0.625 0.978
C: 0.375 0.353 0.478
C: 0.647 0.125 0.022
C: 0.875 0.897 0.522

Space group: I-42d, No. 122
Total magnetization (Bohr magnetons per cell): 0.00
DOS(E_F) (states/eV/atom): 0.0000
Energy of formation (kJ/mol of formula units): -42



[7]
# BPC3

A relaxed structure of BPC3 (GGA-PBEsol, the Alexandria database).

a = 3.456 Å, b = 3.456 Å, c = 3.456 Å
α = 90.00°, β = 90.00°, γ = 90.00°
Fractional coordinates of all 5 atoms:
B: 0.000 0.000 0.000
P: 0.500 0.500 0.500
C: 0.000 0.000 0.500
C: 0.000 0.500 0.000
C: 0.500 0.000 0.000

Space group: Pm-3m, No. 221
Total magnetization (Bohr magnetons per cell): 0.00
DOS(E_F) (states/eV/atom): 0.3874
Energy of formation (kJ/mol of formula units): 1168



[8]
# ScBPC2

A relaxed structure of ScBPC2 (GGA-PBEsol, the Alexandria database).

a = 3.709 Å, b = 3.709 Å, c = 3.702 Å
α = 90.00°, β = 90.00°, γ = 90.00°
Fractional coordinates of all 5 atoms:
Sc: 0.000 0.000 0.000
B: 0.500 0.500 0.000
P: 0.500 0.500 0.500
C: 0.000 0.500 0.500
C: 0.500 0.000 0.500

Space group: P4/mmm, No. 123
Total magnetization (Bohr magnetons per cell): 0.00
DOS(E_F) (states/eV/atom): 0.4942
Energy of formation (kJ/mol of formula units): 517



[9]
# BPbC3

A relaxed structure of BPbC3 (GGA-PBEsol, the Alexandria database).

a = 4.430 Å, b = 4.430 Å, c = 4.430 Å
α = 90.00°, β = 90.00°, γ = 90.00°
Fractional coordinates of all 5 atoms:
B: 0.000 0.000 0.000
Pb: 0.500 0.500 0.500
C: 0.000 0.500 0.500
C: 0.500 0.000 0.500
C: 0.500 0.500 0.000

Space group: Pm-3m, No. 221
Total magnetization (Bohr magnetons per cell): 2.25
DOS(E_F) (states/eV/atom): 0.9023
Energy of formation (kJ/mol of formula units): 2117



[10]
# BPbC2

A relaxed structure of BPbC2 (GGA-PBEsol, the Alexandria database).

a = 4.069 Å, b = 4.069 Å, c = 4.069 Å
α = 60.00°, β = 60.00°, γ = 60.00°
Fractional coordinates of all 4 atoms:
B: 0.000 0.000 0.000
Pb: 0.500 0.500 0.500
C: 0.250 0.250 0.250
C: 0.750 0.750 0.750

Space group: Fm-3m, No. 225
Total magnetization (Bohr magnetons per cell): 0.00
DOS(E_F) (states/eV/atom): 0.4944
Energy of formation (kJ/mol of formula units): 1172



[11]
# BSb2PbC

A relaxed structure of BSb2PbC (GGA-PBEsol, the Alexandria database).

a = 5.920 Å, b = 5.920 Å, c = 2.968 Å
α = 90.00°, β = 90.00°, γ = 90.00°
Fractional coordinates of all 5 atoms:
B: 0.000 0.000 0.000
Sb: 0.000 0.500 0.500
Sb: 0.500 0.000 0.500
Pb: 0.500 0.500 0.000
C: 0.000 0.000 0.500

Space group: P4/mmm, No. 123
Total magnetization (Bohr magnetons per cell): 0.00
Formation energy without anion corrections (kJ per mole of atoms): 59.38
DOS(E_F) (states/eV/atom): 0.2875



[12]
# ThB2Pd2C

A relaxed structure of ThB2Pd2C (GGA-PBEsol, the Alexandria database).

a = 5.986 Å, b = 5.986 Å, c = 5.986 Å
α = 142.95°, β = 142.95°, γ = 53.40°
Fractional coordinates of all 6 atoms:
Th: 0.000 0.000 0.000
B: 0.361 0.361 0.000
B: 0.639 0.639 0.000
Pd: 0.250 0.750 0.500
Pd: 0.750 0.250 0.500
C: 0.500 0.500 0.000

Space group: I4/mmm, No. 139
Total magnetization (Bohr magnetons per cell): 0.00
DOS(E_F) (states/eV/atom): 0.6011
Energy of formation (kJ/mol of formula units): -324



[13]
# YB2Pd2C

A relaxed structure of YB2Pd2C (GGA-PBEsol, the Alexandria database).

a = 5.965 Å, b = 5.965 Å, c = 5.965 Å
α = 143.59°, β = 143.59°, γ = 52.45°
Fractional coordinates of all 6 atoms:
Y: 0.000 0.000 0.000
B: 0.362 0.362 0.000
B: 0.638 0.638 0.000
Pd: 0.250 0.750 0.500
Pd: 0.750 0.250 0.500
C: 0.500 0.500 0.000

Space group: I4/mmm, No. 139
Total magnetization (Bohr magnetons per cell): 0.00
DOS(E_F) (states/eV/atom): 0.4110
Energy of formation (kJ/mol of formula units): -317



[14]
# PrBC

A relaxed structure of PrBC (GGA-PBEsol, the Alexandria database).

a = 8.429 Å, b = 8.465 Å, c = 12.262 Å
α = 90.00°, β = 90.00°, γ = 90.00°
Fractional coordinates of all 60 atoms:
Pr: 0.050 0.097 0.140
Pr: 0.062 0.699 0.634
Pr: 0.158 0.593 0.905
Pr: 0.160 0.992 0.419
Pr: 0.245 0.289 0.672
Pr: 0.255 0.711 0.172
Pr: 0.340 0.008 0.919
Pr: 0.342 0.407 0.405
Pr: 0.438 0.301 0.134
Pr: 0.450 0.903 0.640
Pr: 0.550 0.403 0.860
Pr: 0.562 0.801 0.366
Pr: 0.658 0.907 0.095
Pr: 0.660 0.508 0.581
Pr: 0.745 0.211 0.328
Pr: 0.755 0.789 0.828
Pr: 0.840 0.492 0.081
Pr: 0.842 0.093 0.595
Pr: 0.938 0.199 0.866
Pr: 0.950 0.597 0.360
B: 0.019 0.888 0.959
B: 0.062 0.297 0.321
B: 0.098 0.977 0.739
B: 0.117 0.397 0.213
B: 0.185 0.308 0.991
B: 0.315 0.692 0.491
B: 0.383 0.603 0.713
B: 0.402 0.023 0.239
B: 0.438 0.703 0.821
B: 0.481 0.112 0.459
B: 0.519 0.612 0.041
B: 0.562 0.203 0.679
B: 0.598 0.523 0.261
B: 0.617 0.103 0.787
B: 0.685 0.192 0.009
B: 0.815 0.808 0.509
B: 0.883 0.897 0.287
B: 0.902 0.477 0.761
B: 0.938 0.797 0.179
B: 0.981 0.388 0.541
C: 0.025 0.305 0.439
C: 0.057 0.890 0.841
C: 0.145 0.998 0.625
C: 0.146 0.397 0.093
C: 0.246 0.299 0.879
C: 0.254 0.701 0.379
C: 0.354 0.603 0.593
C: 0.355 0.002 0.125
C: 0.443 0.110 0.341
C: 0.475 0.695 0.939
C: 0.525 0.195 0.561
C: 0.557 0.610 0.159
C: 0.645 0.502 0.375
C: 0.646 0.103 0.907
C: 0.746 0.201 0.121
C: 0.754 0.799 0.621
C: 0.854 0.897 0.407
C: 0.855 0.498 0.875
C: 0.943 0.390 0.659
C: 0.975 0.805 0.061

Space group: P2_12_12_1, No. 19
Total magnetization (Bohr magnetons per cell): 0.00
DOS(E_F) (states/eV/atom): 0.2579
Energy of formation (kJ/mol of formula units): -106



[15]
# ThB2Pt2C

A relaxed structure of ThB2Pt2C (GGA-PBEsol, the Alexandria database).

a = 6.055 Å, b = 6.055 Å, c = 6.055 Å
α = 143.44°, β = 143.44°, γ = 52.67°
Fractional coordinates of all 6 atoms:
Th: 0.000 0.000 0.000
B: 0.362 0.362 0.000
B: 0.638 0.638 0.000
Pt: 0.250 0.750 0.500
Pt: 0.750 0.250 0.500
C: 0.500 0.500 0.000

Space group: I4/mmm, No. 139
Total magnetization (Bohr magnetons per cell): 0.00
DOS(E_F) (states/eV/atom): 0.4576
Energy of formation (kJ/mol of formula units): -397



[16]
# Re2BC

A relaxed structure of Re2BC (GGA-PBEsol, the Alexandria database).

a = 5.712 Å, b = 5.712 Å, c = 5.712 Å
α = 131.85°, β = 131.85°, γ = 70.46°
Fractional coordinates of all 8 atoms:
Re: 0.113 0.625 0.988
Re: 0.375 0.363 0.488
Re: 0.637 0.125 0.012
Re: 0.875 0.887 0.512
B: 0.250 0.750 0.500
B: 0.500 0.500 0.000
C: 0.000 0.000 0.000
C: 0.750 0.250 0.500

Space group: I-42d, No. 122
Total magnetization (Bohr magnetons per cell): 0.00
DOS(E_F) (states/eV/atom): 0.8804
Energy of formation (kJ/mol of formula units): 314



[17]
# TbB2Rh2C

A relaxed structure of TbB2Rh2C (GGA-PBEsol, the Alexandria database).

a = 5.781 Å, b = 5.781 Å, c = 5.781 Å
α = 142.10°, β = 142.10°, γ = 54.67°
Fractional coordinates of all 6 atoms:
Tb: 0.000 0.000 0.000
B: 0.354 0.354 0.000
B: 0.646 0.646 0.000
Rh: 0.250 0.750 0.500
Rh: 0.750 0.250 0.500
C: 0.500 0.500 0.000

Space group: I4/mmm, No. 139
Total magnetization (Bohr magnetons per cell): 0.00
DOS(E_F) (states/eV/atom): 0.3607
Energy of formation (kJ/mol of formula units): -365



[18]
# BCS2

A relaxed structure of BCS2 (GGA-PBEsol, the Alexandria database).

a = 4.906 Å, b = 4.906 Å, c = 4.906 Å
α = 118.14°, β = 118.14°, γ = 93.25°
Fractional coordinates of all 8 atoms:
B: 0.000 0.000 0.000
B: 0.750 0.250 0.500
C: 0.250 0.750 0.500
C: 0.500 0.500 0.000
S: 0.112 0.125 0.487
S: 0.375 0.888 0.013
S: 0.638 0.625 0.513
S: 0.875 0.362 0.987

Space group: I-42d, No. 122
Total magnetization (Bohr magnetons per cell): 0.00
Formation energy without anion corrections (kJ per mole of atoms): 102.52
DOS(E_F) (states/eV/atom): 0.3221



[19]
# BSb3C

A relaxed structure of BSb3C (GGA-PBEsol, the Alexandria database).

a = 4.653 Å, b = 4.653 Å, c = 4.653 Å
α = 90.00°, β = 90.00°, γ = 90.00°
Fractional coordinates of all 5 atoms:
B: 0.000 0.000 0.000
Sb: 0.000 0.500 0.500
Sb: 0.500 0.000 0.500
Sb: 0.500 0.500 0.000
C: 0.500 0.500 0.500

Space group: Pm-3m, No. 221
Total magnetization (Bohr magnetons per cell): 0.00
Formation energy without anion corrections (kJ per mole of atoms): 161.05
DOS(E_F) (states/eV/atom): 0.7473



[20]
# BSb2C

A relaxed structure of BSb2C (GGA-PBEsol, the Alexandria database).

a = 4.410 Å, b = 4.410 Å, c = 4.410 Å
α = 60.00°, β = 60.00°, γ = 60.00°
Fractional coordinates of all 4 atoms:
B: 0.000 0.000 0.000
Sb: 0.250 0.250 0.250
Sb: 0.750 0.750 0.750
C: 0.500 0.500 0.500

Space group: Fm-3m, No. 225
Total magnetization (Bohr magnetons per cell): 0.00
Formation energy without anion corrections (kJ per mole of atoms): 173.56
DOS(E_F) (states/eV/atom): 0.5277



[21]
# TaBSb2C

A relaxed structure of TaBSb2C (GGA-PBEsol, the Alexandria database).

a = 5.320 Å, b = 5.320 Å, c = 4.050 Å
α = 90.00°, β = 90.00°, γ = 90.00°
Fractional coordinates of all 5 atoms:
Ta: 0.000 0.000 0.000
B: 0.500 0.500 0.500
Sb: 0.000 0.500 0.000
Sb: 0.500 0.000 0.000
C: 0.000 0.000 0.500

Space group: P4/mmm, No. 123
Total magnetization (Bohr magnetons per cell): 0.00
Formation energy without anion corrections (kJ per mole of atoms): 166.04
DOS(E_F) (states/eV/atom): 0.7895



[22]
# TiBSb2C

A relaxed structure of TiBSb2C (GGA-PBEsol, the Alexandria database).

a = 4.564 Å, b = 4.564 Å, c = 4.219 Å
α = 90.00°, β = 90.00°, γ = 90.00°
Fractional coordinates of all 5 atoms:
Ti: 0.000 0.000 0.000
B: 0.000 0.000 0.500
Sb: 0.000 0.500 0.500
Sb: 0.500 0.000 0.500
C: 0.500 0.500 0.000

Space group: P4/mmm, No. 123
Total magnetization (Bohr magnetons per cell): 0.00
Formation energy without anion corrections (kJ per mole of atoms): 144.12
DOS(E_F) (states/eV/atom): 0.7160



[23]
# ScBC

A relaxed structure of ScBC (GGA-PBEsol, the Alexandria database).

a = 2.902 Å, b = 2.902 Å, c = 7.214 Å
α = 90.00°, β = 90.00°, γ = 120.00°
Fractional coordinates of all 6 atoms:
Sc: 0.000 0.000 0.000
Sc: 0.000 0.000 0.500
B: 0.333 0.667 0.250
B: 0.667 0.333 0.750
C: 0.333 0.667 0.750
C: 0.667 0.333 0.250

Space group: P6_3/mmc, No. 194
Total magnetization (Bohr magnetons per cell): 0.00
DOS(E_F) (states/eV/atom): 0.0926
Energy of formation (kJ/mol of formula units): -207



[24]
# Sc2BC2

A relaxed structure of Sc2BC2 (GGA-PBEsol, the Alexandria database).

a = 5.798 Å, b = 5.798 Å, c = 5.798 Å
α = 146.93°, β = 146.93°, γ = 47.47°
Fractional coordinates of all 5 atoms:
Sc: 0.152 0.152 0.000
Sc: 0.848 0.848 0.000
B: 0.500 0.500 0.000
C: 0.360 0.360 0.000
C: 0.640 0.640 0.000

Space group: I4/mmm, No. 139
Total magnetization (Bohr magnetons per cell): 0.00
DOS(E_F) (states/eV/atom): 0.3729
Energy of formation (kJ/mol of formula units): -295